! RbMnOs2O8 | the Alexandria database | PBE+U | optimized geometry; values from VASP
! crystal system	trigonal
! total energy	-7.042	eV/atom
! total magnetization	8.0	Bohr magnetons per cell
! V	228.9	Å³ per cell
&SYSTEM
  ibrav = 0, nat = 12, ntyp = 4
/
ATOMIC_SPECIES
Rb 85.47 Rb.upf
Mn 54.94 Mn.upf
Os 190.23 Os.upf
O 16.00 O.upf
CELL_PARAMETERS angstrom
5.722 0.000 0.000
-2.861 4.955 0.000
0.000 0.000 8.073
ATOMIC_POSITIONS crystal
Rb 0.000 0.000 0.000
Mn 0.000 0.000 0.500
Os 0.333 0.667 0.731
Os 0.667 0.333 0.269
O 0.091 0.332 0.664
O 0.242 0.909 0.664
O 0.332 0.242 0.336
O 0.333 0.667 0.951
O 0.667 0.333 0.049
O 0.668 0.758 0.664
O 0.758 0.091 0.336
O 0.909 0.668 0.336